1.
SnSb2TeCl, relaxed, DFT PBE-GGA; space-group type = P4/mmm, No. 123; energy above the lowest structure with this stoichiometry = 17 meV per atom; density = 4.72 g/cm3; VASP energy = -14.205 eV per cell
1.0
5.7193 0.0000 0.0000
0.0000 5.7193 0.0000
0.0000 0.0000 5.6552
Cl Te Sb Sn
1 1 2 1
Direct
0.5000 0.5000 0.5000
0.0000 0.0000 0.5000
0.0000 0.5000 0.0000
0.5000 0.0000 0.0000
0.0000 0.0000 0.0000

***

2.
GaHRh3, relaxed, DFT PBE-GGA; space-group type = P1, No. 1; energy above the lowest structure with this stoichiometry = 67 meV per atom; density = 10.56 g/cm3; VASP energy = -59.120 eV per cell
1.0
-0.6455 -5.0400 -2.7421
4.0998 -3.7727 -0.6154
0.4274 0.5036 5.5556
Ga H Rh
2 2 6
Direct
0.0387 0.6371 0.8855
0.9503 0.1854 0.3435
0.4874 0.8759 0.6516
0.4963 0.3999 0.6195
0.5011 0.1468 0.8573
0.4982 0.6712 0.3773
0.3861 0.7144 0.8183
0.0042 0.2120 0.9273
0.6097 0.1010 0.4154
0.9942 0.6032 0.3071

***

3.
MgTaIr2, relaxed, DFT PBE-GGA; ΔH_f (0 K) = -0.51 eV per atom; space-group type = Cmmm, No. 65; energy above the lowest structure with this stoichiometry = 94 meV per atom; density = 15.49 g/cm3; VASP energy = -33.214 eV per cell
1.0
-2.6318 -6.1199 -1.1531
2.9146 2.2703 -2.7729
1.9034 -2.3001 0.1194
Mg Ir Ta
1 2 1
Direct
0.0000 0.5000 0.5000
0.0000 0.0000 0.0000
0.5000 0.0000 0.5000
0.5000 0.5000 0.0000

***

4.
Ac2LaV, relaxed, DFT PBE-GGA; ΔH_f (0 K) = 0.74 eV per atom; space-group type = R-3m, No. 166; density = 7.24 g/cm3; VASP energy = -19.299 eV per cell
1.0
3.7091 0.0000 0.0000
1.8546 3.2122 0.0000
1.8546 1.0707 12.3928
V Ac La
1 2 1
Direct
0.0000 0.0000 0.0000
0.0811 0.0811 0.7566
0.9189 0.9189 0.2434
0.5000 0.5000 0.5000

***

5.
Sm3AsC, relaxed, DFT PBE-GGA; ΔH_f (0 K) = -0.50 eV per atom; space-group type = C2/m, No. 12; density = 6.89 g/cm3; VASP energy = -61.109 eV per cell
1.0
-3.6359 0.7145 -1.7751
-1.6658 -0.3786 8.0146
0.7457 7.8294 1.6241
C Sm As
2 6 2
Direct
0.9013 0.8026 0.1238
0.0987 0.1974 0.8762
0.9535 0.9070 0.8222
0.6820 0.3640 0.8816
0.1551 0.3103 0.5461
0.3180 0.6360 0.1184
0.0465 0.0930 0.1778
0.8449 0.6897 0.4539
0.6768 0.3536 0.2702
0.3232 0.6464 0.7298

***

6.
Dy6Tl6Cd, relaxed, DFT PBE-GGA; ΔH_f (0 K) = -0.17 eV per atom; space-group type = P6/mmm, No. 191; density = 10.18 g/cm3; VASP energy = -44.940 eV per cell
1.0
6.4619 -0.0003 0.0000
-3.2305 5.5965 0.0000
0.0000 0.0000 10.4407
Dy Tl Cd
6 6 1
Direct
0.6667 0.3333 0.0000
0.3333 0.6667 0.5000
0.0000 0.0000 0.3169
0.6667 0.3333 0.5000
0.3333 0.6667 0.0000
0.0000 0.0000 0.6831
0.0000 0.5000 0.7506
0.5000 0.0000 0.7506
0.5000 0.0000 0.2494
0.5000 0.5000 0.2494
0.0000 0.5000 0.2494
0.5000 0.5000 0.7506
0.0000 0.0000 0.0000

***

7.
Be11Ru3, relaxed, DFT PBE-GGA; ΔH_f (0 K) = -0.26 eV per atom; space-group type = Immm, No. 71; density = 5.30 g/cm3; VASP energy = -72.450 eV per cell
1.0
-2.1252 2.2181 -1.5113
-2.4426 -3.1316 -5.0388
-5.9098 -2.0167 1.4731
Be Ru
11 3
Direct
0.6555 0.7120 0.9771
0.8572 0.8671 0.4185
0.1428 0.1329 0.5815
0.0000 0.5000 0.5000
0.6555 0.9771 0.7120
0.3445 0.0229 0.2880
0.5000 0.6773 0.3227
0.5000 0.3227 0.6773
0.8572 0.4185 0.8671
0.3445 0.2880 0.0229
0.1428 0.5815 0.1329
0.0000 0.0000 0.0000
0.7031 0.2969 0.2969
0.2969 0.7031 0.7031

***

8.
YPd6Pt, relaxed, DFT PBE-GGA; ΔH_f (0 K) = 0.10 eV per atom; space-group type = R-3m, No. 166; density = 9.78 g/cm3; VASP energy = -42.865 eV per cell
1.0
5.3599 0.4280 0.4841
-0.1600 5.3746 0.4841
-0.1600 -0.1785 5.3934
Pd Y Pt
6 1 1
Direct
0.1665 0.5363 0.1665
0.8335 0.4637 0.8335
0.8335 0.8335 0.4637
0.5363 0.1665 0.1665
0.4637 0.8335 0.8335
0.1665 0.1665 0.5363
0.0000 0.0000 0.0000
0.5000 0.5000 0.5000

***

9.
NaVH3, relaxed, DFT PBE-GGA; space-group type = Pm-3m, No. 221; energy above the lowest structure with this stoichiometry = 859 meV per atom; density = 2.61 g/cm3; VASP energy = -16.780 eV per cell
1.0
3.6597 0.0000 0.0000
0.0000 3.6597 0.0000
0.0000 0.0000 3.6597
H Na V
3 1 1
Direct
0.0000 0.5000 0.0000
0.5000 0.0000 0.0000
0.0000 0.0000 0.5000
0.0000 0.0000 0.0000
0.5000 0.5000 0.5000

***

10.
Mg4PtAu, relaxed, DFT PBE-GGA; ΔH_f (0 K) = -0.55 eV per atom; space-group type = C2/m, No. 12; energy above the lowest structure with this stoichiometry = 4 meV per atom; density = 6.29 g/cm3; VASP energy = -18.975 eV per cell
1.0
-1.6817 3.5439 2.1799
-1.4805 -1.0040 -4.1292
-3.6902 -4.8060 4.9664
Pt Au Mg
1 1 4
Direct
0.5001 0.0001 0.5000
0.9999 0.9999 0.0000
0.8711 0.7422 0.6132
0.3790 0.7581 0.1377
0.1290 0.2580 0.3868
0.6209 0.2417 0.8623

***

11.
Ba5AgHg4, relaxed, DFT PBE-GGA; ΔH_f (0 K) = -0.46 eV per atom; space-group type = P4/mmm, No. 123; density = 7.20 g/cm3; VASP energy = -18.287 eV per cell
1.0
-2.3768 -3.4245 -0.0548
0.4169 -0.2230 -4.1419
17.2820 -12.0328 2.3874
Ba Hg Ag
5 4 1
Direct
0.5000 0.5000 0.2992
0.5000 0.5000 0.7008
0.5000 0.5000 0.5000
0.5000 0.5000 0.0979
0.5000 0.5000 0.9021
0.0000 0.0000 0.1978
0.0000 0.0000 0.3990
0.0000 0.0000 0.6010
0.0000 0.0000 0.8022
0.0000 0.0000 0.0000

***

12.
La2Zr2Ge, relaxed, DFT PBE-GGA; ΔH_f (0 K) = -0.16 eV per atom; space-group type = P4/mbm, No. 127; energy above the lowest structure with this stoichiometry = 0 meV per atom; density = 6.60 g/cm3; VASP energy = -64.786 eV per cell
1.0
-0.4177 -4.9230 5.4737
7.3619 -0.2872 0.3035
0.0070 3.6641 3.2960
La Ge Zr
4 2 4
Direct
0.3287 0.1713 0.5000
0.6713 0.8287 0.5000
0.8287 0.3287 0.5000
0.1713 0.6713 0.5000
0.5000 0.5000 0.0000
0.0000 0.0000 0.0000
0.6458 0.1458 0.0000
0.8542 0.6458 0.0000
0.1458 0.3542 0.0000
0.3542 0.8542 0.0000

***

13.
LaTbNCl, relaxed, DFT PBE-GGA; space-group type = R3m, No. 160; density = 6.97 g/cm3; VASP energy = -26.091 eV per cell
1.0
-0.4020 1.1149 3.4426
3.1743 -1.4038 -1.1002
1.4733 6.3063 -3.7960
N La Tb Cl
1 1 1 1
Direct
0.3261 0.5610 0.9025
0.5104 0.1531 0.6788
0.0922 0.9441 0.0515
0.9492 0.3725 0.3369

***

14.
LaPmY2, relaxed, DFT PBE-GGA; ΔH_f (0 K) = 0.01 eV per atom; space-group type = R3m, No. 160; energy above the lowest structure with this stoichiometry = 3 meV per atom; density = 5.65 g/cm3; VASP energy = -22.554 eV per cell
1.0
-2.1497 -2.2594 -1.9028
1.2699 -1.6201 -3.0181
3.5030 -10.3405 4.8136
Pm La Y
1 1 2
Direct
0.5004 0.5004 0.4987
0.6665 0.6665 0.0004
0.2493 0.2493 0.2521
0.0837 0.0837 0.7488

***

15.
YPtO, relaxed, DFT PBE-GGA; space-group type = Fdd2, No. 43; density = 9.32 g/cm3; VASP energy = -91.420 eV per cell
1.0
-3.0278 3.5763 -3.0560
-3.5563 -6.9764 -1.1596
-5.0072 0.6262 2.4150
Pt Y O
4 4 4
Direct
0.0279 0.8194 0.9198
0.4585 0.6806 0.9892
0.2608 0.1806 0.7915
0.3302 0.3194 0.2221
0.8374 0.4030 0.2475
0.0025 0.9030 0.4126
0.6843 0.0970 0.9006
0.3494 0.5970 0.5657
0.7838 0.6290 0.4081
0.4048 0.8710 0.2871
0.9629 0.3710 0.8452
0.8419 0.1290 0.4662

***

16.
Cs2GeIrCl6, relaxed, DFT PBE-GGA; space-group type = I4/mmm, No. 139; density = 4.49 g/cm3; VASP energy = -36.632 eV per cell
1.0
7.2887 0.0000 0.0000
0.0000 7.2887 0.0000
3.6444 3.6444 5.1717
Cl Cs Ir Ge
6 2 1 1
Direct
0.2375 0.2375 0.0000
0.2375 0.7625 0.0000
0.7625 0.7625 0.0000
0.7625 0.7625 0.4749
0.7625 0.2375 0.0000
0.2375 0.2375 0.5251
0.2500 0.7500 0.5000
0.7500 0.2500 0.5000
0.0000 0.0000 0.0000
0.5000 0.5000 0.0000

***

17.
Sm12HoMg3, relaxed, DFT PBE-GGA; ΔH_f (0 K) = 0.01 eV per atom; space-group type = P4/mmm, No. 123; density = 6.72 g/cm3; VASP energy = -65.835 eV per cell
1.0
5.0033 0.0000 0.0000
0.0000 5.0033 0.0000
0.0000 0.0000 20.1612
Sm Mg Ho
12 3 1
Direct
0.5000 0.5000 0.7468
0.5000 0.0000 0.1277
0.5000 0.5000 0.2532
0.5000 0.5000 0.0000
0.0000 0.5000 0.6236
0.5000 0.0000 0.6236
0.0000 0.5000 0.3764
0.5000 0.0000 0.3764
0.0000 0.5000 0.1277
0.0000 0.5000 0.8723
0.5000 0.0000 0.8723
0.5000 0.5000 0.5000
0.0000 0.0000 0.5000
0.0000 0.0000 0.2540
0.0000 0.0000 0.7460
0.0000 0.0000 0.0000

***

18.
Tl2CoN, relaxed, DFT PBE-GGA; space-group type = I-42d, No. 122; density = 10.58 g/cm3; VASP energy = -31.623 eV per cell
1.0
-5.5889 1.3703 3.2535
-3.1355 -4.7263 -3.3956
-3.5132 -3.9880 2.3603
Tl Co N
4 2 2
Direct
0.5827 0.1250 0.2500
0.8750 0.8327 0.7500
0.1673 0.6250 0.2500
0.3750 0.4173 0.7500
0.0000 0.0000 0.0000
0.7500 0.2500 0.5000
0.5000 0.5000 0.0000
0.2500 0.7500 0.5000

***

19.
LiY2Cr, relaxed, DFT PBE-GGA; ΔH_f (0 K) = 0.42 eV per atom; space-group type = R-3m, No. 166; density = 3.78 g/cm3; VASP energy = -22.780 eV per cell
1.0
10.2764 0.0263 0.0155
9.6883 3.4265 0.0155
9.6883 1.6756 2.9889
Cr Li Y
1 1 2
Direct
0.2500 0.2500 0.2500
0.7500 0.7500 0.7500
0.5093 0.5093 0.5093
0.9907 0.9907 0.9907

***

20.
ZrScH3, relaxed, DFT PBE-GGA; space-group type = Pm-3m, No. 221; energy above the lowest structure with this stoichiometry = 216 meV per atom; density = 4.17 g/cm3; VASP energy = -26.249 eV per cell
1.0
-1.2777 -1.4532 -3.2871
3.3297 -1.7916 -0.5022
-1.3526 -3.0377 1.8687
H Sc Zr
3 1 1
Direct
0.0000 0.0000 0.5000
0.5000 0.0000 0.0000
0.0000 0.5000 0.0000
0.5000 0.5000 0.5000
0.0000 0.0000 0.0000